(1)
Computed, not measured: CoCI2O after structural relaxation at the PBEsol level of DFT.

Lattice parameters (Å, degrees): 5.163 5.163 3.415 90.00 90.00 90.00
Space group P4/mmm (No. 123)
Symmetry-distinct sites (fractional):
Co1 0.000 0.000 0.000
C1 0.500 0.500 0.500
I1 0.000 0.500 0.000
O1 0.000 0.000 0.500

Calculated values
- E_form (uncorrected) (kJ per mole of atoms) = 108
- Fermi-level density of states (states/eV/f.u.) = 4.659
- total magnetic moment (μB per cell) = 0.53

***

(2)
Computed, not measured: RbCoC2I after structural relaxation at the PBEsol level of DFT.

Lattice parameters (Å, degrees): 4.060 4.060 6.065 90.00 90.00 90.00
Space group P4/mmm (No. 123)
Symmetry-distinct sites (fractional):
Rb1 0.000 0.000 0.000
Co1 0.000 0.000 0.500
C1 0.000 0.500 0.500
I1 0.500 0.500 0.000

Calculated values
- E_form (uncorrected) (kJ per mole of atoms) = 169
- Fermi-level density of states (states/eV/f.u.) = 2.557
- total magnetic moment (μB per cell) = 0.00

***

(3)
Computed, not measured: CoSb2CI after structural relaxation at the PBEsol level of DFT.

Lattice parameters (Å, degrees): 4.680 4.680 4.604 90.00 90.00 90.00
Space group P4/mmm (No. 123)
Symmetry-distinct sites (fractional):
Co1 0.000 0.000 0.000
Sb1 0.000 0.500 0.500
C1 0.500 0.500 0.500
I1 0.500 0.500 0.000

Calculated values
- E_form (uncorrected) (kJ per mole of atoms) = 140
- Fermi-level density of states (states/eV/f.u.) = 5.457
- total magnetic moment (μB per cell) = 1.37

***

(4)
Computed, not measured: In4Co12C3 after structural relaxation at the PBEsol level of DFT.

Lattice parameters (Å, degrees): 3.773 3.773 14.866 90.00 90.00 90.00
Space group P4/mmm (No. 123)
Symmetry-distinct sites (fractional):
In1 0.000 0.000 0.122
In2 0.000 0.000 0.374
Co1 0.000 0.500 0.000
Co2 0.000 0.500 0.249
Co3 0.000 0.500 0.500
Co4 0.500 0.500 0.117
Co5 0.500 0.500 0.373
C1 0.500 0.500 0.242
C2 0.500 0.500 0.500

Calculated values
- Fermi-level density of states (states/eV/f.u.) = 18.991
- energy of formation from the pure elements (eV/atom) = -0.02
- total magnetic moment (μB per cell) = 3.98

***

(5)
Computed, not measured: InCoMoC2 after structural relaxation at the PBEsol level of DFT.

Lattice parameters (Å, degrees): 4.098 4.098 4.631 90.00 90.00 90.00
Space group P4/mmm (No. 123)
Symmetry-distinct sites (fractional):
In1 0.000 0.000 0.000
Co1 0.000 0.000 0.500
Mo1 0.500 0.500 0.500
C1 0.000 0.500 0.000

Calculated values
- Fermi-level density of states (states/eV/f.u.) = 6.965
- energy of formation from the pure elements (eV/atom) = 3.07
- total magnetic moment (μB per cell) = 3.64

***

(6)
Computed, not measured: TlIn2CoC after structural relaxation at the PBEsol level of DFT.

Lattice parameters (Å, degrees): 4.836 4.836 4.916 90.00 90.00 90.00
Space group P4/mmm (No. 123)
Symmetry-distinct sites (fractional):
Tl1 0.000 0.000 0.000
In1 0.000 0.500 0.500
Co1 0.000 0.000 0.500
C1 0.500 0.500 0.000

Calculated values
- Fermi-level density of states (states/eV/f.u.) = 1.907
- energy of formation from the pure elements (eV/atom) = 1.33
- total magnetic moment (μB per cell) = 2.40

***

The lowest Fermi-level density of states belongs to which entry?
TlIn2CoC

***

Which of these has the highest total magnetic moment?
In4Co12C3